# Mn5Cr2N2 | Alexandria via LeMat-Bulk | PBE-GGA | optimized geometry
# formation energy (no corrections)	-0.15	eV/atom
# E	-9.235	eV/atom
# total magnetic moment	0.24	μB per formula unit
data_Mn5Cr2N2
_chemical_formula_sum 'Mn10 Cr4 N4'
_cell_length_a 8.3898
_cell_length_b 3.8514
_cell_length_c 5.7051
_cell_angle_alpha 90.00
_cell_angle_beta 96.16
_cell_angle_gamma 90.00
_space_group_name_H-M_alt 'C 1 2/m 1'
_space_group_IT_number 12
loop_
_space_group_symop_operation_xyz
'x,y,z'
'-x,-y,-z'
'-x,y,-z'
'x,-y,z'
'x+1/2,y+1/2,z'
'-x+1/2,-y+1/2,-z'
'-x+1/2,y+1/2,-z'
'x+1/2,-y+1/2,z'
loop_
_atom_site_label
_atom_site_type_symbol
_atom_site_fract_x
_atom_site_fract_y
_atom_site_fract_z
Mn1 Mn 0.0000 0.0000 0.0000
Mn2 Mn 0.1326 0.0000 0.4447
Mn3 Mn 0.2036 0.5000 0.1745
Cr1 Cr 0.0732 0.5000 0.6916
N1 N 0.2135 0.0000 0.1474